First-principles (PBE) data for a relaxed LiTlAu crystal, as listed in Alexandria via LeMat-Bulk.

Output
The density of states at the Fermi level is 2.211 states/eV per cell. The value obtained for the formation energy is -22 kJ/mol of atoms. Its symmetry is Cmce (64).

Structure (POSCAR):
```
LiTlAu
1.0
5.650 0.000 0.000
-2.825 4.769 0.000
0.000 0.000 9.408
Tl Li Au
4 4 4
Direct
0.844 0.688 0.463 Tl
0.344 0.688 0.037 Tl
0.156 0.312 0.537 Tl
0.656 0.312 0.963 Tl
0.919 0.839 0.161 Li
0.081 0.161 0.839 Li
0.581 0.161 0.661 Li
0.419 0.839 0.339 Li
0.597 0.694 0.750 Au
0.903 0.306 0.250 Au
0.403 0.306 0.250 Au
0.097 0.694 0.750 Au
```